[1]
{
  "formula": "NdSm3Er2",
  "functional": "PBE-GGA",
  "state": "relaxed",
  "cell": [[6.996, -1.166, -1.485], [-4.127, 9.419, -0.384], [-2.174, 0.716, 6.877]],
  "species": ["Nd", "Nd", "Sm", "Sm", "Sm", "Sm", "Sm", "Sm", "Er", "Er", "Er", "Er"],
  "fractional_positions": [[0.255, 0.003, 0.252], [0.745, 0.997, 0.748], [0.254, 0.002, 0.752], [0.746, 0.998, 0.248], [0.804, 0.664, 0.861], [0.195, 0.335, 0.639], [0.805, 0.665, 0.361], [0.196, 0.336, 0.139], [0.302, 0.665, 0.359], [0.302, 0.665, 0.860], [0.698, 0.335, 0.140], [0.698, 0.335, 0.641]],
  "relative_energy_mev_per_atom": 0,
  "total_magnetization_mub_per_fu": 0.0,
  "e_tot_ev_per_cell": -56.1
}

=====

[2]
{
  "formula": "Nd8Sm2Er3",
  "functional": "PBE-GGA",
  "state": "relaxed",
  "cell": [[-5.757, -0.280, -2.139], [3.965, -4.676, -10.059], [-5.142, -3.437, 6.468]],
  "species": ["Nd", "Nd", "Nd", "Nd", "Nd", "Nd", "Nd", "Nd", "Sm", "Sm", "Er", "Er", "Er"],
  "fractional_positions": [[0.759, 0.414, 0.829], [0.241, 0.586, 0.171], [0.108, 0.862, 0.723], [0.892, 0.138, 0.277], [0.345, 0.923, 0.323], [0.345, 0.400, 0.323], [0.655, 0.600, 0.677], [0.655, 0.077, 0.677], [0.663, 0.688, 0.376], [0.337, 0.312, 0.624], [0.500, 0.000, 0.000], [0.000, 0.267, 0.000], [0.000, 0.733, 0.000]],
  "relative_energy_mev_per_atom": 0,
  "total_magnetization_mub_per_fu": 0.0,
  "e_tot_ev_per_cell": -59.2
}

=====

[3]
{
  "formula": "Nd12Sm5Er2",
  "functional": "PBE-GGA",
  "state": "relaxed",
  "cell": [[-2.882, 7.796, 6.682], [-4.806, -2.496, -7.671], [-4.597, -5.222, 4.110]],
  "species": ["Nd", "Nd", "Nd", "Nd", "Nd", "Nd", "Nd", "Nd", "Nd", "Nd", "Nd", "Nd", "Sm", "Sm", "Sm", "Sm", "Sm", "Er", "Er"],
  "fractional_positions": [[0.868, 0.736, 0.104], [0.040, 0.627, 0.793], [0.586, 0.627, 0.793], [0.169, 0.788, 0.387], [0.619, 0.788, 0.387], [0.447, 0.894, 0.710], [0.553, 0.106, 0.290], [0.831, 0.212, 0.613], [0.381, 0.212, 0.613], [0.960, 0.373, 0.207], [0.414, 0.373, 0.207], [0.132, 0.264, 0.896], [0.242, 0.485, 0.518], [0.344, 0.688, 0.088], [0.000, 0.000, 0.500], [0.656, 0.312, 0.912], [0.758, 0.515, 0.482], [0.734, 0.000, 0.000], [0.266, 0.000, 0.000]],
  "relative_energy_mev_per_atom": 0,
  "total_magnetization_mub_per_fu": 0.0,
  "e_tot_ev_per_cell": -87.6
}

=====

[4]
{
  "formula": "Nd3Sm3Er5",
  "functional": "PBE-GGA",
  "state": "relaxed",
  "cell": [[-2.076, -0.719, -5.132], [4.522, -8.478, -0.641], [-8.939, 0.432, 3.555]],
  "species": ["Nd", "Nd", "Nd", "Sm", "Sm", "Sm", "Er", "Er", "Er", "Er", "Er"],
  "fractional_positions": [[0.000, 0.426, 0.426], [0.000, 0.574, 0.000], [0.000, 0.000, 0.574], [0.500, 0.630, 0.630], [0.500, 0.000, 0.370], [0.500, 0.370, 0.000], [0.500, 0.333, 0.667], [0.500, 0.667, 0.333], [0.500, 0.267, 0.267], [0.500, 0.000, 0.733], [0.500, 0.733, 0.000]],
  "total_magnetization_mub_per_fu": 0.0,
  "e_tot_ev_per_cell": -42.8
}

=====

[5]
{
  "formula": "NdSm2Er7",
  "functional": "PBE-GGA",
  "state": "relaxed",
  "cell": [[-2.645, -0.931, 4.313], [-0.088, -9.456, -2.095], [6.659, 4.818, 5.124]],
  "species": ["Nd", "Sm", "Sm", "Er", "Er", "Er", "Er", "Er", "Er", "Er"],
  "fractional_positions": [[0.000, 0.000, 0.000], [0.500, 0.701, 0.299], [0.500, 0.299, 0.701], [0.000, 0.803, 0.197], [0.000, 0.197, 0.803], [0.500, 0.071, 0.288], [0.500, 0.929, 0.712], [0.500, 0.288, 0.071], [0.500, 0.712, 0.929], [0.500, 0.500, 0.500]],
  "relative_energy_mev_per_atom": 377,
  "total_magnetization_mub_per_fu": 0.0,
  "e_tot_ev_per_cell": -39.2
}

=====

[6]
{
  "formula": "Nd3Sm4Er4",
  "functional": "PBE-GGA",
  "state": "relaxed",
  "cell": [[5.732, 0.000, 0.000], [-2.866, 6.035, 0.000], [0.000, 0.000, 10.710]],
  "species": ["Nd", "Nd", "Nd", "Sm", "Sm", "Sm", "Sm", "Er", "Er", "Er", "Er"],
  "fractional_positions": [[0.410, 0.819, 0.291], [0.410, 0.819, 0.709], [0.254, 0.508, 0.000], [0.752, 0.504, 0.787], [0.752, 0.504, 0.213], [0.885, 0.770, 0.500], [0.959, 0.919, 0.000], [0.613, 0.226, 0.500], [0.556, 0.112, 0.000], [0.104, 0.208, 0.699], [0.104, 0.208, 0.301]],
  "relative_energy_mev_per_atom": 141,
  "total_magnetization_mub_per_fu": 0.0,
  "e_tot_ev_per_cell": -49.7
}

=====

[7]
{
  "formula": "Nd10SmEr4",
  "functional": "PBE-GGA",
  "state": "relaxed",
  "cell": [[-9.065, -5.666, 1.703], [-1.632, -8.441, -2.368], [-1.965, -5.072, 7.066]],
  "species": ["Nd", "Nd", "Nd", "Nd", "Nd", "Nd", "Nd", "Nd", "Nd", "Nd", "Sm", "Er", "Er", "Er", "Er"],
  "fractional_positions": [[0.250, 0.500, 0.500], [0.712, 0.345, 0.893], [0.943, 0.107, 0.345], [0.395, 0.893, 0.655], [0.950, 0.655, 0.107], [0.288, 0.655, 0.107], [0.750, 0.500, 0.500], [0.050, 0.345, 0.893], [0.605, 0.107, 0.345], [0.057, 0.893, 0.655], [0.000, 0.000, 0.000], [0.556, 0.668, 0.221], [0.776, 0.779, 0.668], [0.224, 0.221, 0.332], [0.444, 0.332, 0.779]],
  "total_magnetization_mub_per_fu": 0.0,
  "e_tot_ev_per_cell": -64.1
}

=====

[8]
{
  "formula": "Nd2SmEr12",
  "functional": "PBE-GGA",
  "state": "relaxed",
  "cell": [[-5.696, -2.683, -2.073], [3.689, -3.877, 3.912], [-12.723, 3.896, 20.730]],
  "species": ["Nd", "Nd", "Nd", "Nd", "Sm", "Sm", "Er", "Er", "Er", "Er", "Er", "Er", "Er", "Er", "Er", "Er", "Er", "Er", "Er", "Er", "Er", "Er", "Er", "Er", "Er", "Er", "Er", "Er", "Er", "Er"],
  "fractional_positions": [[0.540, 0.040, 0.281], [0.040, 0.540, 0.280], [0.960, 0.460, 0.719], [0.460, 0.960, 0.720], [0.500, 0.000, 0.000], [0.000, 0.500, 0.000], [0.394, 0.394, 0.808], [0.894, 0.894, 0.808], [0.550, 0.549, 0.933], [0.352, 0.852, 0.865], [0.003, 0.003, 0.330], [0.148, 0.648, 0.135], [0.820, 0.320, 0.571], [0.503, 0.503, 0.330], [0.049, 0.050, 0.933], [0.950, 0.951, 0.067], [0.332, 0.334, 0.555], [0.680, 0.180, 0.429], [0.997, 0.997, 0.670], [0.168, 0.166, 0.445], [0.451, 0.450, 0.067], [0.666, 0.668, 0.445], [0.834, 0.832, 0.555], [0.106, 0.106, 0.192], [0.322, 0.822, 0.571], [0.497, 0.497, 0.670], [0.853, 0.353, 0.864], [0.606, 0.606, 0.192], [0.178, 0.678, 0.429], [0.647, 0.147, 0.136]],
  "total_magnetization_mub_per_fu": 0.0,
  "e_tot_ev_per_cell": -134.9
}

=====

Calculated formation energy? In order: -0.001; 0.160; 0.124; 0.770; 0.699; 0.154; 0.434; 0.106 eV per atom.